No. 1
Material: ZrScW2
Method: DFT, PBE
State: optimized geometry

Summary:
Its energy of formation is 0.33 eV per atom. The calculation puts the total magnetic moment at 0.00 μB per cell.

Cell: 5.0169 5.0169 5.6061 Å, 90.04 90.04 32.01°
Last column: nearest neighbours and their distance in Å.
Positions (direct):
1 Sc 0.2511 0.2511 0.2460  2 Sc 2.77, 1 Zr 2.79, 5 W 2.85-3.08
2 W 0.9949 0.9949 0.9908  3 W 2.65-2.77, 1 Sc 2.85
3 W 0.7534 0.7534 0.7645  3 W 2.65-2.77, 1 Zr 2.86
4 Zr 0.5005 0.5005 0.4987  2 Zr 2.77, 1 Sc 2.79, 3 W 2.86-3.09


No. 2
Material: ZrScW2
Method: DFT, PBE
State: optimized geometry

Summary:
Its energy of formation is 0.33 eV per atom. The calculation puts the total magnetic moment at 0.00 μB per cell.

Cell: 9.5177 9.5177 9.5177 Å, 18.85 18.85 18.85°
Last column: nearest neighbours and their distance in Å.
Positions (direct):
1 Sc 0.7412 0.7412 0.7412  3 W 2.92, 6 Sc 3.12
2 W 0.9926 0.9926 0.9926  3 W 2.64, 3 Sc 2.92
3 W 0.2570 0.2570 0.2570  3 W 2.64, 3 Zr 2.90
4 Zr 0.5092 0.5092 0.5092  3 W 2.90, 6 Zr 3.12


No. 3
Material: ZrScW2
Method: DFT, PBE
State: optimized geometry

Summary:
Its energy of formation is 0.45 eV per atom. The calculation puts the total magnetic moment at 0.00 μB per cell.

Cell: 10.1735 10.1735 10.1735 Å, 16.63 16.63 16.63°
Last column: nearest neighbours and their distance in Å.
Positions (direct):
1 Sc 0.7500 0.7500 0.7500  6 Sc 2.94, 6 W 2.97
2 W 0.0024 0.0024 0.0024  6 W 2.94, 3 Sc 2.97, 3 Zr 3.09
3 W 0.4976 0.4976 0.4976  6 W 2.94, 3 Sc 2.97, 3 Zr 3.09
4 Zr 0.2500 0.2500 0.2500  6 Zr 2.94, 6 W 3.09


No. 4
Material: ZrSc2W
Method: DFT, PBE
State: optimized geometry

Summary:
Its energy of formation is 0.27 eV per atom. The calculation puts the total magnetic moment at 0.00 μB per cell.

Cell: 2.9162 4.6739 6.0778 Å, 90.00 90.00 90.00°
Last column: nearest neighbours and their distance in Å.
Positions (direct):
1 Sc 0.0000 0.0000 0.9997  6 Sc 2.92-3.20, 2 W 3.04, 4 Zr 3.20
2 Sc 0.5000 0.5000 0.2684  1 Zr 2.82, 2 Sc 2.92, 4 W 3.09
3 W 0.0000 0.0000 0.4994  2 W 2.92, 6 Sc 3.04-3.09, 4 Zr 3.10
4 Zr 0.5000 0.5000 0.7325  1 Sc 2.82, 2 Zr 2.92, 4 W 3.10


No. 5
Material: ZrScW2
Method: DFT, PBE
State: optimized geometry

Summary:
Its energy of formation is 0.27 eV per atom. The calculation puts the total magnetic moment at 0.00 μB per cell.

Cell: 5.5412 5.5412 5.5412 Å, 145.17 130.01 62.36°
Last column: nearest neighbours and their distance in Å.
Positions (direct):
1 Sc 0.2500 0.7500 0.5000  4 Zr 2.87, 4 W 2.92
2 W 0.9968 0.9968 0.0000  2 Zr 2.87, 4 W 2.87, 2 Sc 2.92
3 W 0.5032 0.5032 0.0000  2 Zr 2.87, 4 W 2.87, 2 Sc 2.92
4 Zr 0.7500 0.2500 0.5000  4 W 2.87, 4 Sc 2.87


No. 6
Material: ZrSc2W
Method: DFT, PBE
State: optimized geometry

Summary:
Its energy of formation is 0.21 eV per atom. The calculation puts the total magnetic moment at 0.00 μB per cell.

Cell: 4.7954 2.9891 5.9580 Å, 74.55 90.00 90.00°
Last column: nearest neighbours and their distance in Å.
Positions (direct):
1 Sc 0.0000 0.0759 0.0164  2 W 2.89, 5 Sc 2.94-3.22, 2 Zr 3.17
2 Sc 0.0000 0.4241 0.4836  2 W 2.89, 5 Sc 2.94-3.22, 2 Zr 3.17
3 W 0.5000 0.2500 0.2500  4 Sc 2.89, 2 Zr 2.96, 2 W 2.99
4 Zr 0.5000 0.7500 0.7500  2 W 2.96, 2 Zr 2.99, 8 Sc 3.17-3.26


No. 7
Material: ZrSc4W
Method: DFT, PBE
State: optimized geometry

Summary:
Its energy of formation is 0.61 eV per atom. The calculation puts the total magnetic moment at 2.06 μB per cell.

Cell: 5.6752 5.6752 5.6752 Å, 60.00 60.00 60.00°
Last column: nearest neighbours and their distance in Å.
Positions (direct):
1 Zr 0.0000 0.0000 0.0000  12 Sc 3.33, 4 W 3.48
2 Sc 0.3763 0.8710 0.3763  6 Sc 2.81-2.87
3 Sc 0.8710 0.3763 0.3763  6 Sc 2.81-2.87
4 Sc 0.3763 0.3763 0.8710  6 Sc 2.81-2.87
5 Sc 0.3763 0.3763 0.3763  6 Sc 2.81-2.87
6 W 0.7500 0.7500 0.7500  12 Sc 3.32, 4 Zr 3.48


No. 8
Material: ZrSc2W
Method: DFT, PBE
State: optimized geometry

Summary:
Its energy of formation is 0.30 eV per atom. The calculation puts the total magnetic moment at 0.00 μB per cell.

Cell: 10.4330 10.4330 10.4330 Å, 17.01 17.01 17.01°
Last column: nearest neighbours and their distance in Å.
Positions (direct):
1 Sc 0.0021 0.0021 0.0021  9 Sc 3.09-3.39, 3 Zr 3.20
2 Sc 0.2420 0.2420 0.2420  3 W 2.91, 6 Sc 3.09
3 W 0.5009 0.5009 0.5009  3 Sc 2.91, 3 Zr 3.02, 6 W 3.09
4 Zr 0.7550 0.7550 0.7550  3 W 3.02, 6 Zr 3.09, 3 Sc 3.20


No. 9
Material: Zr4ScW
Method: DFT, PBE
State: optimized geometry

Summary:
Its energy of formation is 0.55 eV per atom. The calculation puts the total magnetic moment at 0.00 μB per cell.

Cell: 5.7064 5.7064 5.7064 Å, 60.00 60.00 60.00°
Last column: nearest neighbours and their distance in Å.
Positions (direct):
1 Zr 0.8780 0.3740 0.3740  6 Zr 2.83-2.88
2 Zr 0.3740 0.3740 0.8780  6 Zr 2.83-2.88
3 Zr 0.3740 0.8780 0.3740  6 Zr 2.83-2.88
4 Zr 0.3740 0.3740 0.3740  6 Zr 2.83-2.88
5 Sc 0.7500 0.7500 0.7500  12 Zr 3.35, 4 W 3.49
6 W 0.0000 0.0000 0.0000  12 Zr 3.34, 4 Sc 3.49


No. 10
Material: ZrScW2
Method: DFT, PBE
State: optimized geometry

Summary:
Its energy of formation is 0.41 eV per atom. The calculation puts the total magnetic moment at 0.00 μB per cell.

Cell: 4.7245 4.7245 4.7245 Å, 60.00 60.00 60.00°
Last column: nearest neighbours and their distance in Å.
Positions (direct):
1 Sc 0.0000 0.0000 0.0000  8 W 2.89
2 Zr 0.5000 0.5000 0.5000  8 W 2.89
3 W 0.2500 0.2500 0.2500  4 Zr 2.89, 4 Sc 2.89
4 W 0.7500 0.7500 0.7500  4 Zr 2.89, 4 Sc 2.89


No. 11
Material: ZrScW2
Method: DFT, PBE
State: optimized geometry

Summary:
Its energy of formation is 0.33 eV per atom. The calculation puts the total magnetic moment at 0.00 μB per cell.

Cell: 2.7805 2.7805 9.6533 Å, 90.00 90.00 90.00°
Last column: nearest neighbours and their distance in Å.
Positions (direct):
1 Sc 0.5000 0.5000 0.7500  4 Sc 2.78, 8 W 3.08
2 W 0.0000 0.0000 0.9957  4 W 2.78, 4 Sc 3.08
3 W 0.0000 0.0000 0.5043  4 W 2.78, 4 Sc 3.08
4 Zr 0.5000 0.5000 0.2500  4 Zr 2.78


No. 12
Material: ZrSc2W
Method: DFT, PBE
State: optimized geometry

Summary:
Its energy of formation is 0.31 eV per atom. The calculation puts the total magnetic moment at 0.00 μB per cell.

Cell: 3.6102 3.6102 6.3477 Å, 90.00 90.00 90.00°
Last column: nearest neighbours and their distance in Å.
Positions (direct):
1 Sc 0.0000 0.0000 0.0313  1 Sc 2.78, 4 W 2.91
2 Sc 0.0000 0.0000 0.4687  1 Sc 2.78, 4 W 2.91
3 W 0.5000 0.5000 0.2500  8 Sc 2.91, 2 Zr 3.17
4 Zr 0.5000 0.5000 0.7500  8 Sc 3.12, 2 W 3.17